Record 1
DFT (PBE) results for Ca4NF2 after structural relaxation.

a b c (Å): 4.8956 4.8956 6.8663
angles (deg): 69.11 69.11 90.00
Last column: nearest neighbours and their distance in Å.
Atoms (fractional coordinates):
Ca 0.7893 0.7893 0.4215  1 F 2.23
Ca 0.5000 0.0000 0.0000  2 N 2.45, 4 F 2.73
Ca 0.0000 0.5000 0.0000  2 N 2.45, 4 F 2.73
Ca 0.2107 0.2107 0.5785  1 F 2.23
F 0.6016 0.6016 0.7968  1 Ca 2.23, 1 F 2.41
F 0.3984 0.3984 0.2032  1 Ca 2.23, 1 F 2.41
N 0.0000 0.0000 0.0000  6 Ca 2.45-2.50

- SG: I4/mmm
- Energy relative to the elements, uncorrected: -1.776 eV per atom
- Calculated density: 2.5 g/cm³
- Calculated volume: 20.3 Å³ per atom
- Total DFT energy (no corrections): -4.644 eV per atom


Record 2
DFT (PBE) results for ScReTeN2 after structural relaxation.

a b c (Å): 3.9433 3.9433 5.5687
angles (deg): 90.00 90.00 90.00
Last column: nearest neighbours and their distance in Å.
Atoms (fractional coordinates):
N 0.0000 0.5000 0.0000  2 Re 1.97
N 0.5000 0.0000 0.0000  2 Re 1.97
Sc 0.5000 0.5000 0.5000  4 Te 2.79
Te 0.0000 0.0000 0.5000  2 Re 2.78, 4 Sc 2.79
Re 0.0000 0.0000 0.0000  4 N 1.97

- SG: P4/mmm
- Energy relative to the elements, uncorrected: 0.137 eV per atom
- Calculated density: 7.4 g/cm³
- Calculated volume: 17.3 Å³ per atom
- Energy above the most stable polymorph in this dataset: 0.0 kJ/mol of atoms
- Total DFT energy (no corrections): -7.578 eV per atom


Record 3
DFT (PBE) results for CaPr5Ir4 after structural relaxation.

a b c (Å): 4.3624 7.6478 9.6946
angles (deg): 113.26 103.00 90.00
Last column: nearest neighbours and their distance in Å.
Atoms (fractional coordinates):
Ir 0.0000 0.7447 0.0000  4 Pr 2.83-2.87, 2 Ca 2.93
Ir 0.7044 0.2044 0.4088  6 Pr 2.94-3.02
Ir 0.0000 0.2553 0.0000  4 Pr 2.83-2.87, 2 Ca 2.93
Ir 0.2956 0.7956 0.5912  6 Pr 2.94-3.02
Pr 0.1637 0.4043 0.3274  4 Ir 2.83-3.02
Pr 0.5000 0.5000 0.0000  4 Ir 2.87
Pr 0.8363 0.0772 0.6726  4 Ir 2.83-3.02
Pr 0.8363 0.5957 0.6726  4 Ir 2.83-3.02
Pr 0.1637 0.9228 0.3274  4 Ir 2.83-3.02
Ca 0.5000 0.0000 0.0000  4 Ir 2.93

- SG: Immm
- Calculated density: 8.7 g/cm³
- Energy of formation from the pure elements: -0.408 eV/atom
- Calculated volume: 28.8 Å³ per atom
- Energy above the most stable polymorph in this dataset: 8.9 kJ/mol of atoms
- Total DFT energy (no corrections): -6.542 eV per atom